(1)
This record from Alexandria describes Na2PSe4 after structural relaxation. The functional is PBE-GGA.

Summary:
total magnetization: 0.00 μB per formula unit
formation energy without anion corrections: -444.8 meV per atom
VASP energy: -3.59 eV/atom

Cell: 8.930 8.930 12.940 Å, 90.00 90.00 99.29°
Fractional coordinates of all 28 atoms:
Na: 0.063 0.563 0.250
Na: 0.124 0.876 0.750
Na: 0.376 0.624 0.750
Na: 0.437 0.937 0.250
Na: 0.563 0.063 0.750
Na: 0.624 0.376 0.250
Na: 0.876 0.124 0.250
Na: 0.937 0.437 0.750
P: 0.250 0.250 0.193
P: 0.250 0.250 0.693
P: 0.750 0.750 0.307
P: 0.750 0.750 0.807
Se: 0.062 0.314 0.101
Se: 0.071 0.168 0.812
Se: 0.168 0.071 0.312
Se: 0.186 0.438 0.601
Se: 0.314 0.062 0.601
Se: 0.332 0.429 0.312
Se: 0.429 0.332 0.812
Se: 0.438 0.186 0.101
Se: 0.562 0.814 0.899
Se: 0.571 0.668 0.188
Se: 0.668 0.571 0.688
Se: 0.686 0.938 0.399
Se: 0.814 0.562 0.399
Se: 0.832 0.929 0.688
Se: 0.929 0.832 0.188
Se: 0.938 0.686 0.899

=====

(2)
This record from Alexandria describes ThO2F after structural relaxation. The functional is PBE-GGA.

Summary:
total magnetization: 0.87 μB per formula unit
formation energy without anion corrections: -2978.1 meV per atom
VASP energy: -7.78 eV/atom

Cell: 4.051 4.051 4.051 Å, 60.00 60.00 60.00°
Fractional coordinates of all 4 atoms:
Th: 0.000 0.000 0.000
O: 0.250 0.250 0.250
O: 0.750 0.750 0.750
F: 0.500 0.500 0.500

=====

(3)
This record from Alexandria describes LiCuW after structural relaxation. The functional is PBE-GGA.

Summary:
total magnetization: 0.00 μB per formula unit
formation enthalpy at 0 K: 1.006 eV/atom
VASP energy: -5.31 eV/atom

Cell: 4.001 4.001 4.001 Å, 60.00 60.00 60.00°
Fractional coordinates of all 3 atoms:
Li: 0.000 0.000 0.000
Cu: 0.250 0.250 0.250
W: 0.500 0.500 0.500

=====

(4)
This record from Alexandria describes ZnAgCl2 after structural relaxation. The functional is PBE-GGA.

Summary:
total magnetization: 0.00 μB per formula unit
formation energy without anion corrections: -488.1 meV per atom
VASP energy: -2.44 eV/atom

Cell: 10.103 10.103 10.103 Å, 19.37 19.37 19.37°
Fractional coordinates of all 4 atoms:
Zn: 0.000 0.000 0.000
Ag: 0.500 0.500 0.500
Cl: 0.382 0.382 0.382
Cl: 0.618 0.618 0.618

=====

(5)
This record from Alexandria describes MnAlAs2 after structural relaxation. The functional is PBE-GGA.

Summary:
total magnetization: 2.29 μB per formula unit
formation enthalpy at 0 K: 0.014 eV/atom
VASP energy: -5.54 eV/atom

Cell: 2.823 2.823 8.907 Å, 90.00 90.00 93.86°
Fractional coordinates of all 4 atoms:
Mn: 0.000 0.000 0.000
Al: 0.500 0.500 0.810
As: 0.000 0.000 0.581
As: 0.500 0.500 0.192

=====

(6)
This record from Alexandria describes SrTaF2 after structural relaxation. The functional is PBE-GGA.

Summary:
total magnetization: 4.29 μB per formula unit
formation energy without anion corrections: -675.6 meV per atom
VASP energy: -4.99 eV/atom

Cell: 4.780 4.780 4.780 Å, 60.00 60.00 60.00°
Fractional coordinates of all 4 atoms:
Sr: 0.000 0.000 0.000
Ta: 0.500 0.500 0.500
F: 0.250 0.250 0.250
F: 0.750 0.750 0.750

=====

(7)
This record from Alexandria describes LaNdNiRh after structural relaxation. The functional is PBE-GGA.

Summary:
total magnetization: 0.00 μB per formula unit
formation enthalpy at 0 K: -0.537 eV/atom
VASP energy: -6.24 eV/atom

Cell: 4.198 5.897 5.897 Å, 39.27 90.00 90.00°
Fractional coordinates of all 4 atoms:
La: 0.000 0.000 0.000
Nd: 0.500 0.274 0.274
Ni: 0.000 0.717 0.717
Rh: 0.500 0.555 0.555

=====

(8)
This record from Alexandria describes CaPmGe4 after structural relaxation. The functional is PBE-GGA.

Summary:
total magnetization: 0.00 μB per formula unit
formation enthalpy at 0 K: -0.371 eV/atom
VASP energy: -4.57 eV/atom

Cell: 9.008 15.467 4.137 Å, 90.00 90.00 90.00°
Fractional coordinates of all 24 atoms:
Ca: 0.129 0.083 0.000
Ca: 0.371 0.583 0.000
Ca: 0.629 0.417 0.000
Ca: 0.871 0.917 0.000
Pm: 0.104 0.370 0.000
Pm: 0.396 0.870 0.000
Pm: 0.604 0.130 0.000
Pm: 0.896 0.630 0.000
Ge: 0.054 0.219 0.500
Ge: 0.130 0.527 0.500
Ge: 0.141 0.918 0.500
Ge: 0.171 0.690 0.500
Ge: 0.329 0.190 0.500
Ge: 0.359 0.418 0.500
Ge: 0.370 0.027 0.500
Ge: 0.446 0.719 0.500
Ge: 0.554 0.281 0.500
Ge: 0.630 0.973 0.500
Ge: 0.641 0.582 0.500
Ge: 0.671 0.810 0.500
Ge: 0.829 0.310 0.500
Ge: 0.859 0.082 0.500
Ge: 0.870 0.473 0.500
Ge: 0.946 0.781 0.500

=====

(9)
This record from Alexandria describes Re2SeI2 after structural relaxation. The functional is PBE-GGA.

Summary:
total magnetization: 0.00 μB per formula unit
formation energy without anion corrections: 1074.1 meV per atom
VASP energy: -5.22 eV/atom

Cell: 5.461 5.461 5.461 Å, 119.83 119.83 90.30°
Fractional coordinates of all 5 atoms:
Re: 0.150 0.150 0.000
Re: 0.850 0.850 0.000
Se: 0.500 0.500 0.000
I: 0.250 0.750 0.500
I: 0.750 0.250 0.500

=====

(10)
This record from Alexandria describes Rb2Ge2S5 after structural relaxation. The functional is PBE-GGA.

Summary:
total magnetization: 0.00 μB per formula unit
formation energy without anion corrections: -785.1 meV per atom
VASP energy: -4.32 eV/atom

Cell: 11.328 11.328 9.196 Å, 96.82 96.82 90.08°
Fractional coordinates of all 36 atoms:
Rb: 0.048 0.214 0.108
Rb: 0.214 0.048 0.608
Rb: 0.215 0.468 0.628
Rb: 0.468 0.215 0.128
Rb: 0.532 0.785 0.872
Rb: 0.785 0.532 0.372
Rb: 0.786 0.952 0.392
Rb: 0.952 0.786 0.892
Ge: 0.128 0.734 0.392
Ge: 0.265 0.543 0.109
Ge: 0.266 0.872 0.108
Ge: 0.457 0.735 0.391
Ge: 0.543 0.265 0.609
Ge: 0.734 0.128 0.892
Ge: 0.735 0.457 0.891
Ge: 0.872 0.266 0.608
S: 0.012 0.247 0.470
S: 0.113 0.887 0.250
S: 0.114 0.556 0.253
S: 0.247 0.012 0.970
S: 0.248 0.376 0.972
S: 0.248 0.693 0.963
S: 0.307 0.752 0.537
S: 0.376 0.248 0.472
S: 0.443 0.557 0.250
S: 0.444 0.886 0.247
S: 0.556 0.114 0.753
S: 0.557 0.443 0.750
S: 0.624 0.752 0.528
S: 0.693 0.248 0.463
S: 0.752 0.307 0.037
S: 0.752 0.624 0.028
S: 0.753 0.988 0.030
S: 0.886 0.444 0.747
S: 0.887 0.113 0.750
S: 0.988 0.753 0.530

=====

(11)
This record from Alexandria describes Tm2Ga9Pd after structural relaxation. The functional is PBE-GGA.

Summary:
total magnetization: 0.00 μB per formula unit
formation enthalpy at 0 K: -0.408 eV/atom
VASP energy: -3.86 eV/atom

Cell: 4.206 4.206 12.354 Å, 90.00 90.00 90.00°
Fractional coordinates of all 12 atoms:
Tm: 0.000 0.000 0.178
Tm: 0.000 0.000 0.822
Ga: 0.000 0.500 0.000
Ga: 0.000 0.500 0.352
Ga: 0.000 0.500 0.648
Ga: 0.500 0.000 0.000
Ga: 0.500 0.000 0.352
Ga: 0.500 0.000 0.648
Ga: 0.500 0.500 0.163
Ga: 0.500 0.500 0.500
Ga: 0.500 0.500 0.837
Pd: 0.000 0.000 0.500

=====

(12)
This record from Alexandria describes Nd2ErSc after structural relaxation. The functional is PBE-GGA.

Summary:
total magnetization: 0.00 μB per formula unit
formation enthalpy at 0 K: 0.041 eV/atom
VASP energy: -5.07 eV/atom

Cell: 5.047 5.047 4.880 Å, 90.00 90.00 90.00°
Fractional coordinates of all 4 atoms:
Nd: 0.000 0.500 0.000
Nd: 0.500 0.000 0.000
Er: 0.000 0.000 0.500
Sc: 0.500 0.500 0.500

=====

(13)
This record from Alexandria describes SmTm2ScSe4 after structural relaxation. The functional is PBE-GGA.

Summary:
total magnetization: 0.00 μB per formula unit
formation energy without anion corrections: -1666.3 meV per atom
VASP energy: -5.91 eV/atom

Cell: 6.969 3.980 7.049 Å, 90.00 108.85 90.00°
Fractional coordinates of all 8 atoms:
Sm: 0.000 0.000 0.000
Tm: 0.500 0.000 0.500
Tm: 0.500 0.500 0.000
Sc: 0.000 0.500 0.500
Se: 0.249 0.000 0.740
Se: 0.257 0.500 0.262
Se: 0.743 0.500 0.738
Se: 0.751 0.000 0.260

=====

(14)
This record from Alexandria describes PmPr after structural relaxation. The functional is PBE-GGA.

Summary:
total magnetization: 0.00 μB per formula unit
formation enthalpy at 0 K: 0.015 eV/atom
VASP energy: -4.75 eV/atom

Cell: 6.395 6.395 6.395 Å, 131.97 131.97 70.27°
Fractional coordinates of all 4 atoms:
Pm: 0.375 0.625 0.750
Pm: 0.625 0.375 0.250
Pr: 0.125 0.875 0.250
Pr: 0.875 0.125 0.750

=====

(15)
This record from Alexandria describes MnBe2PdI after structural relaxation. The functional is PBE-GGA.

Summary:
total magnetization: 4.60 μB per formula unit
formation energy without anion corrections: 783.4 meV per atom
VASP energy: -3.89 eV/atom

Cell: 4.273 4.273 5.736 Å, 90.00 90.00 90.00°
Fractional coordinates of all 5 atoms:
Mn: 0.000 0.000 0.000
Be: 0.000 0.500 0.500
Be: 0.500 0.000 0.500
Pd: 0.500 0.500 0.500
I: 0.500 0.500 0.000

=====

(16)
This record from Alexandria describes BeHgTeI2 after structural relaxation. The functional is PBE-GGA.

Summary:
total magnetization: 0.00 μB per formula unit
formation energy without anion corrections: 214.1 meV per atom
VASP energy: -1.84 eV/atom

Cell: 5.268 5.268 5.294 Å, 90.00 90.00 90.00°
Fractional coordinates of all 5 atoms:
Be: 0.000 0.000 0.000
Hg: 0.500 0.500 0.500
Te: 0.000 0.000 0.500
I: 0.000 0.500 0.000
I: 0.500 0.000 0.000

=====

(17)
This record from Alexandria describes CaLaPr2 after structural relaxation. The functional is PBE-GGA.

Summary:
total magnetization: 0.00 μB per formula unit
formation enthalpy at 0 K: 0.031 eV/atom
VASP energy: -4.09 eV/atom

Cell: 12.611 12.611 12.611 Å, 17.04 17.04 17.04°
Fractional coordinates of all 4 atoms:
Ca: 0.000 0.000 0.000
La: 0.500 0.500 0.500
Pr: 0.247 0.247 0.247
Pr: 0.753 0.753 0.753

=====

(18)
This record from Alexandria describes SmThNi2P2 after structural relaxation. The functional is PBE-GGA.

Summary:
total magnetization: 0.00 μB per formula unit
formation enthalpy at 0 K: -1.215 eV/atom
VASP energy: -6.97 eV/atom

Cell: 3.962 3.962 8.000 Å, 90.00 90.00 120.00°
Fractional coordinates of all 6 atoms:
Sm: 0.000 0.000 0.000
Th: 0.000 0.000 0.500
Ni: 0.333 0.667 0.739
Ni: 0.667 0.333 0.261
P: 0.333 0.667 0.242
P: 0.667 0.333 0.758

=====

(19)
This record from Alexandria describes Pa2Be3Ge4Pd after structural relaxation. The functional is PBE-GGA.

Summary:
total magnetization: 0.00 μB per formula unit
formation enthalpy at 0 K: -0.318 eV/atom
VASP energy: -5.70 eV/atom

Cell: 4.161 4.161 9.372 Å, 90.00 90.00 90.00°
Fractional coordinates of all 10 atoms:
Pa: 0.000 0.500 0.244
Pa: 0.500 0.000 0.756
Be: 0.000 0.500 0.885
Be: 0.500 0.000 0.115
Be: 0.500 0.500 0.500
Ge: 0.000 0.000 0.000
Ge: 0.000 0.500 0.649
Ge: 0.500 0.000 0.351
Ge: 0.500 0.500 0.000
Pd: 0.000 0.000 0.500

=====

(20)
This record from Alexandria describes HoAg2Pt after structural relaxation. The functional is PBE-GGA.

Summary:
total magnetization: 0.00 μB per formula unit
formation enthalpy at 0 K: -0.492 eV/atom
VASP energy: -4.57 eV/atom

Cell: 4.034 4.034 4.810 Å, 90.00 90.00 90.00°
Fractional coordinates of all 4 atoms:
Ho: 0.000 0.000 0.000
Ag: 0.000 0.500 0.500
Ag: 0.500 0.000 0.500
Pt: 0.500 0.500 0.000

=====

(21)
This record from Alexandria describes DyHgGeAu after structural relaxation. The functional is PBE-GGA.

Summary:
total magnetization: 0.00 μB per formula unit
formation enthalpy at 0 K: -0.406 eV/atom
VASP energy: -3.61 eV/atom

Cell: 4.963 4.963 4.963 Å, 60.00 60.00 60.00°
Fractional coordinates of all 4 atoms:
Dy: 0.000 0.000 0.000
Hg: 0.500 0.500 0.500
Ge: 0.750 0.750 0.750
Au: 0.250 0.250 0.250

=====

(22)
This record from Alexandria describes TaCuNiOs after structural relaxation. The functional is PBE-GGA.

Summary:
total magnetization: 0.00 μB per formula unit
formation enthalpy at 0 K: -0.057 eV/atom
VASP energy: -8.30 eV/atom

Cell: 4.303 4.303 4.303 Å, 60.00 60.00 60.00°
Fractional coordinates of all 4 atoms:
Ta: 0.000 0.000 0.000
Cu: 0.500 0.500 0.500
Ni: 0.250 0.250 0.250
Os: 0.750 0.750 0.750

=====

(23)
This record from Alexandria describes SrCd2W after structural relaxation. The functional is PBE-GGA.

Summary:
total magnetization: 0.00 μB per formula unit
formation enthalpy at 0 K: 0.555 eV/atom
VASP energy: -3.56 eV/atom

Cell: 3.008 3.008 9.765 Å, 90.00 90.00 90.00°
Fractional coordinates of all 4 atoms:
Sr: 0.000 0.000 0.000
Cd: 0.500 0.500 0.279
Cd: 0.500 0.500 0.721
W: 0.000 0.000 0.500

=====

(24)
This record from Alexandria describes WBr2Cl after structural relaxation. The functional is PBE-GGA.

Summary:
total magnetization: 0.00 μB per formula unit
formation energy without anion corrections: 31.0 meV per atom
VASP energy: -4.51 eV/atom

Cell: 7.026 7.026 7.026 Å, 96.56 96.56 140.50°
Fractional coordinates of all 8 atoms:
W: 0.000 0.000 0.000
W: 0.750 0.250 0.500
Br: 0.375 0.230 0.355
Br: 0.770 0.125 0.145
Br: 0.875 0.020 0.645
Br: 0.980 0.625 0.855
Cl: 0.250 0.750 0.500
Cl: 0.500 0.500 0.000